The following is a DFT calculation (PBE with a Hubbard U) of a relaxed structure of Sr4Fe2MoWO12.

Output
The crystal system is triclinic. The symmetry is P-1. For the total energy, the calculation gives -6.9041 eV/atom.

Cell: 5.643 5.685 9.808 Å, 74.12 73.42 60.52°
Positions (direct):
Sr  0.115  0.129  0.136
Sr  0.376  0.371  0.385
Sr  0.624  0.629  0.615
Sr  0.885  0.871  0.864
Fe  0.251  0.251  0.746
Fe  0.749  0.749  0.254
Mo  0.000  0.000  0.500
W  0.500  0.500  0.000
O  0.061  0.176  0.634
O  0.116  0.614  0.101
O  0.155  0.623  0.642
O  0.374  0.842  0.865
O  0.388  0.908  0.385
O  0.437  0.319  0.880
O  0.563  0.681  0.120
O  0.612  0.092  0.615
O  0.626  0.158  0.135
O  0.845  0.377  0.358
O  0.884  0.386  0.899
O  0.939  0.824  0.366